Computed, not measured: La2ZnInNi after structural relaxation at the PBE level of DFT.

Cell lengths 5.3619, 5.3619, 4.6983 Å; angles 90.00, 90.00, 90.00 degrees
With the nearest neighbours (Å) after each atom.
Atoms (fractional coordinates):
La  0.0000  0.5000  0.0000  2 Ni 2.68
La  0.5000  0.0000  0.0000  2 Ni 2.68
Zn  0.0000  0.0000  0.5000  2 Ni 2.35
In  0.5000  0.5000  0.5000  8 La 3.56, 4 Zn 3.79
Ni  0.0000  0.0000  0.0000  2 Zn 2.35

Calculated values
- density (g/cm3) = 6.35
- SG = P4/mmm, No. 123
- uncorrected energy (eV per formula unit) = -21.19
- size of the total moment (μB per atom) = 0.00
- density of states at the Fermi level (states/eV per cell) = 4.81